No. 1
{"formula": "LiZnIr2", "functional": "PBE", "state": "relaxed", "cell": [[2.696, 0.013, 0.000], [-1.203, 2.412, 0.000], [0.000, 0.000, 8.664]], "species": ["Li", "Ir", "Ir", "Zn"], "frac_coords": [[0.500, 0.500, 0.250], [0.000, 0.000, 0.503], [0.000, 0.000, 0.997], [0.500, 0.500, 0.750]], "mass_density_g_cm3": 13.43, "formation_energy_ev_per_atom": -0.10, "e_tot_ha_per_atom": -0.196}


No. 2
{"formula": "KBa2NaBr", "functional": "PBE", "state": "relaxed", "cell": [[6.551, 0.000, 0.000], [0.000, 6.551, 0.000], [0.000, 0.000, 6.484]], "species": ["Ba", "Ba", "K", "Br", "Na"], "frac_coords": [[0.500, 0.000, 0.000], [0.000, 0.500, 0.000], [0.000, 0.000, 0.500], [0.000, 0.000, 0.000], [0.500, 0.500, 0.500]], "mass_density_g_cm3": 2.49, "e_form_raw_kj_per_mol_atoms": -48, "e_tot_ha_per_atom": -0.077}


No. 3
{"formula": "LiZn2As", "functional": "PBE", "state": "relaxed", "cell": [[-5.959, 3.159, -5.905], [-6.284, 0.229, -6.388], [-7.783, 1.552, -4.168]], "species": ["Li", "Zn", "Zn", "As"], "frac_coords": [[0.750, 0.750, 0.750], [0.002, 0.002, 0.002], [0.498, 0.498, 0.498], [0.250, 0.250, 0.250]], "mass_density_g_cm3": 5.20, "formation_energy_ev_per_atom": 0.05, "e_tot_ha_per_atom": -0.082}


No. 4
{"formula": "CsSn4Au", "functional": "PBE", "state": "relaxed", "cell": [[2.687, -11.591, 0.000], [2.687, 11.591, 0.000], [0.000, 0.000, 6.141]], "species": ["Au", "Au", "Sn", "Sn", "Sn", "Sn", "Sn", "Sn", "Sn", "Sn", "Cs", "Cs"], "frac_coords": [[0.887, 0.113, 0.250], [0.113, 0.887, 0.750], [0.218, 0.782, 0.997], [0.782, 0.218, 0.003], [0.000, 0.000, 0.500], [0.000, 0.000, 0.000], [0.782, 0.218, 0.497], [0.218, 0.782, 0.503], [0.540, 0.460, 0.750], [0.460, 0.540, 0.250], [0.375, 0.625, 0.750], [0.625, 0.375, 0.250]], "mass_density_g_cm3": 6.99, "formation_energy_ev_per_atom": -0.08, "e_tot_ha_per_atom": -0.126}


No. 5
{"formula": "ZrScOs", "functional": "PBE", "state": "relaxed", "cell": [[6.662, 0.000, 3.040], [2.284, 6.947, 3.815], [0.275, 0.662, 8.217]], "species": ["Zr", "Zr", "Zr", "Zr", "Zr", "Zr", "Sc", "Sc", "Sc", "Sc", "Sc", "Sc", "Os", "Os", "Os", "Os", "Os", "Os"], "frac_coords": [[0.754, 0.387, 0.348], [0.017, 0.000, 0.000], [0.488, 0.613, 0.652], [0.017, 0.500, 0.500], [0.488, 0.152, 0.113], [0.754, 0.848, 0.887], [0.736, 0.963, 0.463], [0.150, 0.557, 0.057], [0.162, 0.037, 0.537], [0.763, 0.443, 0.943], [0.321, 0.774, 0.274], [0.369, 0.226, 0.726], [0.422, 0.781, 0.894], [0.771, 0.230, 0.730], [0.732, 0.770, 0.270], [0.422, 0.394, 0.281], [0.097, 0.606, 0.719], [0.097, 0.219, 0.106]], "mass_density_g_cm3": 8.98, "relative_energy_kcal_per_mol_atoms": 0.06, "formation_energy_ev_per_atom": -0.30, "e_tot_ha_per_atom": -0.331}


No. 6
{"formula": "TlPb2Cl4", "functional": "PBE", "state": "relaxed", "cell": [[-1.935, -3.502, -5.696], [-2.467, -4.670, 7.732], [-4.281, 7.597, -0.970]], "species": ["Tl", "Tl", "Cl", "Cl", "Cl", "Cl", "Cl", "Cl", "Cl", "Cl", "Pb", "Pb", "Pb", "Pb"], "frac_coords": [[0.985, 0.985, 0.970], [0.265, 0.764, 0.530], [0.436, 0.744, 0.870], [0.849, 0.649, 0.152], [0.814, 0.007, 0.630], [0.948, 0.250, 0.349], [0.401, 0.099, 0.348], [0.816, 0.624, 0.630], [0.303, 0.502, 0.151], [0.434, 0.126, 0.870], [0.125, 0.375, 0.750], [0.625, 0.375, 0.750], [0.624, 0.375, 0.250], [0.626, 0.875, 0.250]], "mass_density_g_cm3": 5.62, "e_form_raw_kj_per_mol_atoms": -90, "e_tot_ha_per_atom": -0.124}